Here is La2ReI2 after structural relaxation from Alexandria via LeMat-Bulk. Energies are from GGA-PBE.

relative energy among the computed polymorphs: 7 meV/atom
formation energy (no corrections): 0.137 eV/atom
total moment: 0.0 μB per formula unit
space-group type: I4/mmm, No. 139

Geometry as extended XYZ:
```
5
Lattice="-3.3490 5.1661 0.1555 -0.8490 -0.3672 -6.0887 -5.5858 0.1203 -2.3430" Properties=species:S:1:pos:R:3 pbc="T T T"
I -3.4279 1.5308 -2.7289
I -6.3559 3.3884 -5.5473
Re 0.0000 0.0000 0.0000
La -5.5169 3.8429 -2.5771
La -4.2669 1.0763 -5.6992
```